No. 1
The following is a PBEsol calculation of a geometry-optimized Cs3ZnCr structure, from the Alexandria database.

Computed properties:
SG: Pm-3m (221)

Cell lengths 6.808, 6.808, 6.808 Å; angles 90.00, 90.00, 90.00 degrees
Fractional coordinates of all 5 atoms:
Cs 0.000 0.000 0.500
Cs 0.000 0.500 0.000
Cs 0.500 0.000 0.000
Zn 0.000 0.000 0.000
Cr 0.500 0.500 0.500


No. 2
The following is a PBEsol calculation of a geometry-optimized CrCu structure, from the Alexandria database.

Computed properties:
SG: P6_3/mmc (194)

Cell lengths 3.830, 3.830, 4.207 Å; angles 90.00, 90.00, 120.00 degrees
Fractional coordinates of all 4 atoms:
Cr 0.000 0.000 0.000
Cr 0.000 0.000 0.500
Cu 0.333 0.667 0.250
Cu 0.667 0.333 0.750


What formation enthalpy at 0 K values result from the calculations? In sequence: 4.3; 2.2 eV per formula unit.
What DOS(E_F) values result from the calculations? In sequence: 4.78; 4.24 states/eV per cell.